# PBE NdYScCu, optimized geometry
data_NdYScCu
_chemical_formula_sum 'Nd4 Y4 Sc4 Cu4'
_symmetry_space_group_name_H-M 'F -4 3 m'
_symmetry_Int_Tables_number 216
_symmetry_space_group_name_Hall 'F -4 2 3'
_cell_length_a 7.4025
_cell_length_b 7.4025
_cell_length_c 7.4025
_cell_angle_alpha 90.00
_cell_angle_beta 90.00
_cell_angle_gamma 90.00
loop_
_atom_site_label
_atom_site_type_symbol
_atom_site_fract_x
_atom_site_fract_y
_atom_site_fract_z
Nd1 Nd 0.0000 0.0000 0.0000
Y1 Y 0.0000 0.0000 0.5000
Sc1 Sc 0.2500 0.2500 0.7500
Cu1 Cu 0.2500 0.2500 0.2500
# * D(E_F): 16.1 states/eV/cell
# * E: -5.2768 eV per atom

---

# PBE Nd2ScZn3Cu12, optimized geometry
data_Nd2ScZn3Cu12
_chemical_formula_sum 'Nd6 Sc3 Zn9 Cu36'
_symmetry_space_group_name_H-M 'R -3 m'
_symmetry_Int_Tables_number 166
_symmetry_space_group_name_Hall '-R 3 2"'
_cell_length_a 8.2442
_cell_length_b 8.2442
_cell_length_c 17.1185
_cell_angle_alpha 90.00
_cell_angle_beta 90.00
_cell_angle_gamma 120.00
loop_
_atom_site_label
_atom_site_type_symbol
_atom_site_fract_x
_atom_site_fract_y
_atom_site_fract_z
Nd1 Nd 0.0000 0.0000 0.0942
Sc1 Sc 0.0000 0.0000 0.5000
Zn1 Zn 0.0000 0.5000 0.0000
Cu1 Cu 0.0095 0.5048 0.8533
Cu2 Cu 0.0891 0.5445 0.4115
# * D(E_F): 28.0 states/eV/cell
# * E: -3.5166 eV per atom

---

# PBE Nd2ScZn12Cu3, optimized geometry
data_Nd2ScZn12Cu3
_chemical_formula_sum 'Nd6 Sc3 Zn36 Cu9'
_symmetry_space_group_name_H-M 'R -3 m'
_symmetry_Int_Tables_number 166
_symmetry_space_group_name_Hall '-R 3 2"'
_cell_length_a 6.3956
_cell_length_b 6.3956
_cell_length_c 28.6165
_cell_angle_alpha 90.00
_cell_angle_beta 90.00
_cell_angle_gamma 120.00
loop_
_atom_site_label
_atom_site_type_symbol
_atom_site_fract_x
_atom_site_fract_y
_atom_site_fract_z
Nd1 Nd 0.0000 0.0000 0.1425
Sc1 Sc 0.0000 0.0000 0.5000
Zn1 Zn 0.0510 0.5255 0.9033
Zn2 Zn 0.0663 0.5331 0.7127
Cu1 Cu 0.0000 0.5000 0.0000
# * D(E_F): 29.2 states/eV/cell
# * E: -2.4228 eV per atom

---

# PBE Nd2Cu2Se, optimized geometry
data_Nd2Cu2Se
_chemical_formula_sum 'Nd6 Cu6 Se3'
_symmetry_space_group_name_H-M 'R -3 m'
_symmetry_Int_Tables_number 166
_symmetry_space_group_name_Hall '-R 3 2"'
_cell_length_a 4.1834
_cell_length_b 4.1834
_cell_length_c 22.8901
_cell_angle_alpha 90.00
_cell_angle_beta 90.00
_cell_angle_gamma 120.00
loop_
_atom_site_label
_atom_site_type_symbol
_atom_site_fract_x
_atom_site_fract_y
_atom_site_fract_z
Nd1 Nd 0.0000 0.0000 0.0865
Cu1 Cu 0.0000 0.0000 0.3329
Se1 Se 0.0000 0.0000 0.5000
# * D(E_F): 9.4 states/eV/cell
# * E: -5.0891 eV per atom
# * formation energy (no corrections): -0.847 eV per atom

---

# PBE NdCuSe2, optimized geometry
data_NdCuSe2
_chemical_formula_sum 'Nd4 Cu4 Se8'
_symmetry_space_group_name_H-M 'P 1 21/c 1'
_symmetry_Int_Tables_number 14
_symmetry_space_group_name_Hall '-P 2ybc'
_cell_length_a 6.7462
_cell_length_b 7.5126
_cell_length_c 7.2301
_cell_angle_alpha 90.00
_cell_angle_beta 96.47
_cell_angle_gamma 90.00
loop_
_atom_site_label
_atom_site_type_symbol
_atom_site_fract_x
_atom_site_fract_y
_atom_site_fract_z
Nd1 Nd 0.1931 0.0453 0.2987
Cu1 Cu 0.4317 0.6613 0.4551
Se1 Se 0.0814 0.7240 0.4980
Se2 Se 0.4022 0.1118 0.7211
# * E: -5.2028 eV per atom
# * formation energy (no corrections): -1.245 eV per atom

---

# PBE Nd2Cu4Se5, optimized geometry
data_Nd2Cu4Se5
_chemical_formula_sum 'Nd6 Cu12 Se15'
_symmetry_space_group_name_H-M 'R -3 m'
_symmetry_Int_Tables_number 166
_symmetry_space_group_name_Hall '-R 3 2"'
_cell_length_a 4.0691
_cell_length_b 4.0691
_cell_length_c 50.6546
_cell_angle_alpha 90.00
_cell_angle_beta 90.00
_cell_angle_gamma 120.00
loop_
_atom_site_label
_atom_site_type_symbol
_atom_site_fract_x
_atom_site_fract_y
_atom_site_fract_z
Nd1 Nd 0.0000 0.0000 0.1308
Cu1 Cu 0.0000 0.0000 0.3141
Cu2 Cu 0.0000 0.0000 0.4132
Se1 Se 0.0000 0.0000 0.2389
Se2 Se 0.0000 0.0000 0.3653
Se3 Se 0.0000 0.0000 0.5000
# * D(E_F): 17.4 states/eV/cell
# * E: -4.7318 eV per atom
# * formation energy (no corrections): -0.792 eV per atom

---

# PBE NdCu2Se2, optimized geometry
data_NdCu2Se2
_chemical_formula_sum 'Nd4 Cu8 Se8'
_symmetry_space_group_name_H-M 'C 1 2/c 1'
_symmetry_Int_Tables_number 15
_symmetry_space_group_name_Hall '-C 2yc'
_cell_length_a 8.8356
_cell_length_b 10.3446
_cell_length_c 6.2788
_cell_angle_alpha 90.00
_cell_angle_beta 134.61
_cell_angle_gamma 90.00
loop_
_atom_site_label
_atom_site_type_symbol
_atom_site_fract_x
_atom_site_fract_y
_atom_site_fract_z
Nd1 Nd 0.0000 0.1255 0.2500
Cu1 Cu 0.1464 0.3747 0.0427
Se1 Se 0.0000 0.1642 0.7500
Se2 Se 0.0000 0.4151 0.2500
# * D(E_F): 10.1 states/eV/cell
# * E: -4.6544 eV per atom
# * formation energy (no corrections): -0.669 eV per atom

---

# PBE NdCuSe2, optimized geometry
data_NdCuSe2
_chemical_formula_sum 'Nd3 Cu3 Se6'
_symmetry_space_group_name_H-M 'R -3 m'
_symmetry_Int_Tables_number 166
_symmetry_space_group_name_Hall '-R 3 2"'
_cell_length_a 4.4529
_cell_length_b 4.4529
_cell_length_c 22.5806
_cell_angle_alpha 90.00
_cell_angle_beta 90.00
_cell_angle_gamma 120.00
loop_
_atom_site_label
_atom_site_type_symbol
_atom_site_fract_x
_atom_site_fract_y
_atom_site_fract_z
Nd1 Nd 0.0000 0.0000 0.0000
Cu1 Cu 0.0000 0.0000 0.5000
Se1 Se 0.0000 0.0000 0.4000
# * D(E_F): 0.0 states/eV/cell
# * E: -5.0611 eV per atom
# * formation energy (no corrections): -1.103 eV per atom

---

# PBE Nd6CuSe8, optimized geometry
data_Nd6CuSe8
_chemical_formula_sum 'Nd18 Cu3 Se24'
_symmetry_space_group_name_H-M 'R -3'
_symmetry_Int_Tables_number 148
_symmetry_space_group_name_Hall '-R 3'
_cell_length_a 8.7309
_cell_length_b 8.7309
_cell_length_c 17.9056
_cell_angle_alpha 90.00
_cell_angle_beta 90.00
_cell_angle_gamma 120.00
loop_
_atom_site_label
_atom_site_type_symbol
_atom_site_fract_x
_atom_site_fract_y
_atom_site_fract_z
Nd1 Nd 0.0007 0.3807 0.4195
Cu1 Cu 0.0000 0.0000 0.5000
Se1 Se 0.0000 0.0000 0.1704
Se2 Se 0.0050 0.2685 0.5884
# * D(E_F): 16.4 states/eV/cell
# * E: -5.6601 eV per atom
# * formation energy (no corrections): -1.621 eV per atom

---

# PBE Nd2CuSe4, optimized geometry
data_Nd2CuSe4
_chemical_formula_sum 'Nd4 Cu2 Se8'
_symmetry_space_group_name_H-M 'P 1 21/m 1'
_symmetry_Int_Tables_number 11
_symmetry_space_group_name_Hall '-P 2yb'
_cell_length_a 7.1771
_cell_length_b 5.8862
_cell_length_c 8.3558
_cell_angle_alpha 90.00
_cell_angle_beta 106.93
_cell_angle_gamma 90.00
loop_
_atom_site_label
_atom_site_type_symbol
_atom_site_fract_x
_atom_site_fract_y
_atom_site_fract_z
Nd1 Nd 0.2320 0.2500 0.4335
Nd2 Nd 0.2376 0.2500 0.9331
Cu1 Cu 0.2367 0.7500 0.6846
Se1 Se 0.0743 0.7500 0.8973
Se2 Se 0.0760 0.7500 0.3902
Se3 Se 0.4881 0.5089 0.2460
# * D(E_F): 3.0 states/eV/cell
# * E: -5.3232 eV per atom
# * formation energy (no corrections): -1.385 eV per atom

---

# PBE NdCu2Se3, optimized geometry
data_NdCu2Se3
_chemical_formula_sum 'Nd4 Cu8 Se12'
_symmetry_space_group_name_H-M 'C m c m'
_symmetry_Int_Tables_number 63
_symmetry_space_group_name_Hall '-C 2c 2'
_cell_length_a 8.7065
_cell_length_b 12.4721
_cell_length_c 4.9343
_cell_angle_alpha 90.00
_cell_angle_beta 90.00
_cell_angle_gamma 90.00
loop_
_atom_site_label
_atom_site_type_symbol
_atom_site_fract_x
_atom_site_fract_y
_atom_site_fract_z
Nd1 Nd 0.0000 0.2328 0.2500
Cu1 Cu 0.1909 0.5000 0.0000
Se1 Se 0.0000 0.3866 0.7500
Se2 Se 0.1944 0.1476 0.7500
# * D(E_F): 19.6 states/eV/cell
# * E: -4.6640 eV per atom
# * formation energy (no corrections): -0.762 eV per atom

---

# PBE Nd2CuSe, optimized geometry
data_Nd2CuSe
_chemical_formula_sum 'Nd6 Cu3 Se3'
_symmetry_space_group_name_H-M 'R 3 m'
_symmetry_Int_Tables_number 160
_symmetry_space_group_name_Hall 'R 3 -2"'
_cell_length_a 4.1031
_cell_length_b 4.1031
_cell_length_c 22.2318
_cell_angle_alpha 90.00
_cell_angle_beta 90.00
_cell_angle_gamma 120.00
loop_
_atom_site_label
_atom_site_type_symbol
_atom_site_fract_x
_atom_site_fract_y
_atom_site_fract_z
Nd1 Nd 0.0000 0.0000 0.0000
Nd2 Nd 0.0000 0.0000 0.1759
Cu1 Cu 0.0000 0.0000 0.5873
Se1 Se 0.0000 0.0000 0.7554
# * D(E_F): 11.8 states/eV/cell
# * E: -5.1273 eV per atom
# * formation energy (no corrections): -0.848 eV per atom
# * offset from the most stable computed form: 0.137 eV per atom

---

# PBE Nd2CuSe, optimized geometry
data_Nd2CuSe
_chemical_formula_sum 'Nd8 Cu4 Se4'
_symmetry_space_group_name_H-M 'C m c m'
_symmetry_Int_Tables_number 63
_symmetry_space_group_name_Hall '-C 2c 2'
_cell_length_a 4.0753
_cell_length_b 23.4860
_cell_length_c 4.3155
_cell_angle_alpha 90.00
_cell_angle_beta 90.00
_cell_angle_gamma 90.00
loop_
_atom_site_label
_atom_site_type_symbol
_atom_site_fract_x
_atom_site_fract_y
_atom_site_fract_z
Nd1 Nd 0.0000 0.0646 0.2500
Nd2 Nd 0.0000 0.3170 0.2500
Cu1 Cu 0.0000 0.4658 0.2500
Se1 Se 0.0000 0.1913 0.2500
# * D(E_F): 13.8 states/eV/cell
# * E: -5.2644 eV per atom
# * formation energy (no corrections): -0.985 eV per atom
# * offset from the most stable computed form: 0.000 eV per atom

---

# PBE NdCu3Se3, optimized geometry
data_NdCu3Se3
_chemical_formula_sum 'Nd6 Cu18 Se18'
_symmetry_space_group_name_H-M 'R -3'
_symmetry_Int_Tables_number 148
_symmetry_space_group_name_Hall '-R 3'
_cell_length_a 7.0805
_cell_length_b 7.0805
_cell_length_c 20.2611
_cell_angle_alpha 90.00
_cell_angle_beta 90.00
_cell_angle_gamma 120.00
loop_
_atom_site_label
_atom_site_type_symbol
_atom_site_fract_x
_atom_site_fract_y
_atom_site_fract_z
Nd1 Nd 0.0000 0.0000 0.1663
Cu1 Cu 0.0044 0.6470 0.6238
Se1 Se 0.0015 0.6814 0.4148
# * E: -4.6721 eV per atom
# * formation energy (no corrections): -0.742 eV per atom

---

# PBE NdCuSe2, optimized geometry
data_NdCuSe2
_chemical_formula_sum 'Nd4 Cu4 Se8'
_symmetry_space_group_name_H-M 'C m c 21'
_symmetry_Int_Tables_number 36
_symmetry_space_group_name_Hall 'C 2c -2'
_cell_length_a 4.4833
_cell_length_b 19.8845
_cell_length_c 5.7635
_cell_angle_alpha 90.00
_cell_angle_beta 90.00
_cell_angle_gamma 90.00
loop_
_atom_site_label
_atom_site_type_symbol
_atom_site_fract_x
_atom_site_fract_y
_atom_site_fract_z
Nd1 Nd 0.0000 0.1877 0.0000
Cu1 Cu 0.0000 0.5001 0.2463
Se1 Se 0.0000 0.2128 0.4998
Se2 Se 0.0000 0.4114 0.4961
# * D(E_F): 0.0 states/eV/cell
# * E: -5.0945 eV per atom
# * formation energy (no corrections): -1.136 eV per atom

---

# PBE Nd6CuSe5, optimized geometry
data_Nd6CuSe5
_chemical_formula_sum 'Nd12 Cu2 Se10'
_symmetry_space_group_name_H-M 'C 1 2/m 1'
_symmetry_Int_Tables_number 12
_symmetry_space_group_name_Hall '-C 2y'
_cell_length_a 7.3290
_cell_length_b 12.6838
_cell_length_c 7.3211
_cell_angle_alpha 90.00
_cell_angle_beta 109.57
_cell_angle_gamma 90.00
loop_
_atom_site_label
_atom_site_type_symbol
_atom_site_fract_x
_atom_site_fract_y
_atom_site_fract_z
Nd1 Nd 0.2448 0.0000 0.2526
Nd2 Nd 0.2450 0.1642 0.7453
Cu1 Cu 0.0000 0.0000 0.5000
Se1 Se 0.0000 0.1705 0.0000
Se2 Se 0.0000 0.3346 0.5000
Se3 Se 0.0000 0.5000 0.0000
# * D(E_F): 10.3 states/eV/cell
# * E: -5.7527 eV per atom
# * formation energy (no corrections): -1.576 eV per atom

---

# PBE Nd3CuSe2, optimized geometry
data_Nd3CuSe2
_chemical_formula_sum 'Nd12 Cu4 Se8'
_symmetry_space_group_name_H-M 'P 1 21/c 1'
_symmetry_Int_Tables_number 14
_symmetry_space_group_name_Hall '-P 2ybc'
_cell_length_a 5.9710
_cell_length_b 12.5999
_cell_length_c 8.4977
_cell_angle_alpha 90.00
_cell_angle_beta 90.01
_cell_angle_gamma 90.00
loop_
_atom_site_label
_atom_site_type_symbol
_atom_site_fract_x
_atom_site_fract_y
_atom_site_fract_z
Nd1 Nd 0.2494 0.2477 0.3685
Nd2 Nd 0.2505 0.5794 0.3796
Nd3 Nd 0.2501 0.5865 0.8755
Cu1 Cu 0.2493 0.0856 0.1211
Se1 Se 0.2499 0.0830 0.6217
Se2 Se 0.2506 0.7477 0.1268
# * D(E_F): 16.4 states/eV/cell
# * E: -5.4800 eV per atom
# * formation energy (no corrections): -1.252 eV per atom

---

# PBE Nd2CuSe, optimized geometry
data_Nd2CuSe
_chemical_formula_sum 'Nd6 Cu3 Se3'
_symmetry_space_group_name_H-M 'R -3 m'
_symmetry_Int_Tables_number 166
_symmetry_space_group_name_Hall '-R 3 2"'
_cell_length_a 4.1396
_cell_length_b 4.1396
_cell_length_c 21.5557
_cell_angle_alpha 90.00
_cell_angle_beta 90.00
_cell_angle_gamma 120.00
loop_
_atom_site_label
_atom_site_type_symbol
_atom_site_fract_x
_atom_site_fract_y
_atom_site_fract_z
Nd1 Nd 0.0000 0.0000 0.2495
Cu1 Cu 0.0000 0.0000 0.5000
Se1 Se 0.0000 0.0000 0.0000
# * D(E_F): 13.4 states/eV/cell
# * E: -5.1952 eV per atom
# * formation energy (no corrections): -0.916 eV per atom
# * offset from the most stable computed form: 0.069 eV per atom

---

# PBE NdSmCuSe4, optimized geometry
data_NdSmCuSe4
_chemical_formula_sum 'Nd2 Sm2 Cu2 Se8'
_symmetry_space_group_name_H-M 'P 1 21/m 1'
_symmetry_Int_Tables_number 11
_symmetry_space_group_name_Hall '-P 2yb'
_cell_length_a 7.1504
_cell_length_b 5.8642
_cell_length_c 8.3127
_cell_angle_alpha 90.00
_cell_angle_beta 106.88
_cell_angle_gamma 90.00
loop_
_atom_site_label
_atom_site_type_symbol
_atom_site_fract_x
_atom_site_fract_y
_atom_site_fract_z
Nd1 Nd 0.2402 0.2500 0.4338
Sm1 Sm 0.2291 0.2500 0.9328
Cu1 Cu 0.2371 0.7500 0.1844
Se1 Se 0.0735 0.7500 0.3967
Se2 Se 0.0742 0.7500 0.8898
Se3 Se 0.4867 0.5090 0.7498
# * D(E_F): 2.9 states/eV/cell
# * E: -5.3074 eV per atom
# * formation energy (no corrections): -1.376 eV per atom

---

# PBE Nd3CuSnSe7, optimized geometry
data_Nd3CuSnSe7
_chemical_formula_sum 'Nd6 Cu2 Sn2 Se14'
_symmetry_space_group_name_H-M 'P 63'
_symmetry_Int_Tables_number 173
_symmetry_space_group_name_Hall 'P 6c'
_cell_length_a 10.6125
_cell_length_b 10.6125
_cell_length_c 6.4050
_cell_angle_alpha 90.00
_cell_angle_beta 90.00
_cell_angle_gamma 120.00
loop_
_atom_site_label
_atom_site_type_symbol
_atom_site_fract_x
_atom_site_fract_y
_atom_site_fract_z
Nd1 Nd 0.1388 0.7830 0.0000
Cu1 Cu 0.0000 0.0000 0.0583
Sn1 Sn 0.3333 0.6667 0.4235
Se1 Se 0.0837 0.5138 0.2485
Se2 Se 0.1033 0.8453 0.5428
Se3 Se 0.3333 0.6667 0.8186
# * E: -5.2143 eV per atom
# * formation energy (no corrections): -1.315 eV per atom

---

| no. | size of the total moment (μB per atom) | theoretical density (g/cm³) |
| --- | --- | --- |
| 1 | 0.000 | 5.594 |
| 2 | 0.000 | 6.389 |
| 3 | 0.000 | 6.433 |
| 4 | 0.000 | 7.101 |
| 5 | 0.000 | 6.671 |
| 6 | 0.000 | 6.430 |
| 7 | 0.000 | 6.979 |
| 8 | 0.000 | 4.698 |
| 9 | 0.000 | 6.577 |
| 10 | 0.000 | 6.568 |
| 11 | 0.000 | 6.300 |
| 12 | 0.000 | 6.624 |
| 13 | 0.000 | 6.931 |
| 14 | 0.000 | 6.476 |
| 15 | 0.000 | 4.728 |
| 16 | 0.000 | 6.856 |
| 17 | 0.000 | 6.797 |
| 18 | 0.000 | 6.711 |
| 19 | 0.000 | 6.711 |
| 20 | 0.000 | 6.208 |